[1]
This record from the Alexandria database describes an optimized crystal structure of Rb2PbAu2Cl6. The functional is PBE.

Cell lengths 14.107, 7.632, 8.011 Å; angles 90.00, 122.64, 90.00 degrees
Space group C2/m (No. 12)
Symmetry-distinct sites (fractional):
Rb 0.236 0.000 0.204 x4
Pb 0.000 0.000 0.500 x2
Au 0.063 0.500 0.219 x4
Cl 0.069 0.254 0.813 x8
Cl 0.236 0.000 0.624 x4

Computed properties:
Its total magnetization is 0.00 μB/f.u. As for the formation energy without anion corrections: -1.03 eV/atom. Its crystal system is monoclinic.



[2]
This record from the Alexandria database describes an optimized crystal structure of MnCo2Rh. The functional is PBE.

Cell lengths 5.762, 5.762, 5.762 Å; angles 90.00, 90.00, 90.00 degrees
Space group Fm-3m (No. 225)
Symmetry-distinct sites (fractional):
Mn 0.000 0.000 0.000 x4
Co 0.250 0.250 0.250 x8
Rh 0.000 0.000 0.500 x4

Computed properties:
Its total magnetization is 2.41 μB/f.u. The calculated formation energy comes out at 0.32 eV per atom. Its crystal system is cubic.



[3]
This record from the Alexandria database describes an optimized crystal structure of In2Fe. The functional is PBE.

Cell lengths 5.7778, 5.7778, 9.7049 Å; angles 90.00, 90.00, 120.00 degrees
Space group P6_3/mmc (No. 194)
Symmetry-distinct sites (fractional):
In 0.0000 0.0000 0.0000 x2
In 0.1715 0.3430 0.2500 x6
Fe 0.3333 0.6667 0.5087 x4

Computed properties:
Its total magnetization is 3.06 μB/f.u. The calculated formation energy comes out at 0.82 eV per atom. Its crystal system is hexagonal.



[4]
This record from the Alexandria database describes an optimized crystal structure of SrLiPb2. The functional is PBE.

Cell lengths 3.8881, 3.8881, 30.4516 Å; angles 90.00, 90.00, 120.00 degrees
Space group R3m (No. 160, hexagonal axes)
Symmetry-distinct sites (fractional):
Sr 0.0000 0.0000 0.0000 x3
Li 0.0000 0.0000 0.7614 x3
Pb 0.0000 0.0000 0.2422 x3
Pb 0.0000 0.0000 0.4963 x3

Computed properties:
Its total magnetization is 0.00 μB/f.u. The calculated formation energy comes out at -0.01 eV per atom. Its crystal system is trigonal.



[5]
This record from the Alexandria database describes an optimized crystal structure of PuNbZn. The functional is PBE.

Cell lengths 2.883, 2.883, 13.874 Å; angles 90.00, 90.00, 90.00 degrees
Space group I4mm (No. 107)
Symmetry-distinct sites (fractional):
Pu 0.000 0.000 0.000 x2
Nb 0.000 0.000 0.684 x2
Zn 0.000 0.000 0.328 x2

Computed properties:
Its total magnetization is 5.10 μB/f.u. As for the energy above the most stable polymorph in this dataset: 0.0 kJ/mol of formula units. The calculated formation energy comes out at 0.08 eV per atom. Its crystal system is tetragonal.



[6]
This record from the Alexandria database describes an optimized crystal structure of SmGe2S4. The functional is PBE.

Cell lengths 7.456, 7.456, 6.537 Å; angles 90.00, 90.00, 90.00 degrees
Space group I4/m (No. 87)
Symmetry-distinct sites (fractional):
Sm 0.000 0.000 0.000 x2
Ge 0.000 0.500 0.250 x4
S 0.178 0.317 0.500 x8

Computed properties:
Its total magnetization is 0.00 μB/f.u. As for the formation energy without anion corrections: -0.52 eV/atom. Its crystal system is tetragonal.



[7]
This record from the Alexandria database describes an optimized crystal structure of CaZn4Si. The functional is PBE.

Cell lengths 4.114, 15.517, 6.725 Å; angles 90.00, 90.00, 90.00 degrees
Space group Cmcm (No. 63)
Symmetry-distinct sites (fractional):
Ca 0.000 0.124 0.250 x4
Zn 0.000 0.066 0.750 x4
Zn 0.000 0.329 0.057 x8
Zn 0.000 0.500 0.000 x4
Si 0.000 0.231 0.750 x4

Computed properties:
Its total magnetization is 0.00 μB/f.u. As for the formation energy without anion corrections: -0.16 eV/atom. As for the energy above the most stable polymorph in this dataset: 0.0 kJ/mol of formula units. Its crystal system is orthorhombic.



[8]
This record from the Alexandria database describes an optimized crystal structure of BaLi2TiCl8. The functional is PBE.

Cell lengths 6.2290, 6.2290, 8.8093 Å; angles 90.00, 90.00, 120.00 degrees
Space group P-3 (No. 147)
Symmetry-distinct sites (fractional):
Ba 0.0000 0.0000 0.0000 x1
Li 0.3333 0.6667 0.7273 x2
Ti 0.0000 0.0000 0.5000 x1
Cl 0.0301 0.7131 0.3406 x6
Cl 0.3333 0.6667 0.9837 x2

Computed properties:
Its total magnetization is 0.00 μB/f.u. As for the formation energy without anion corrections: -1.80 eV/atom. Its crystal system is trigonal.



[9]
This record from the Alexandria database describes an optimized crystal structure of NaBrN2F. The functional is PBE.

Cell lengths 3.816, 3.816, 5.406 Å; angles 90.00, 90.00, 90.00 degrees
Space group P4/mmm (No. 123)
Symmetry-distinct sites (fractional):
Na 0.000 0.000 0.000 x1
Br 0.500 0.500 0.500 x1
N 0.000 0.500 0.500 x2
F 0.500 0.500 0.000 x1

Computed properties:
Its total magnetization is 0.69 μB/f.u. As for the formation energy without anion corrections: 0.96 eV/atom. As for the energy above the most stable polymorph in this dataset: 0.0 kJ/mol of formula units. Its crystal system is tetragonal.



[10]
This record from the Alexandria database describes an optimized crystal structure of SbPbAu2. The functional is PBE.

Cell lengths 3.434, 3.674, 7.594 Å; angles 90.00, 90.00, 90.00 degrees
Space group Pmm2 (No. 25)
Symmetry-distinct sites (fractional):
Sb 0.000 0.000 0.000 x1
Pb 0.500 0.500 0.643 x1
Au 0.000 0.000 0.402 x1
Au 0.500 0.500 0.198 x1

Computed properties:
Its total magnetization is 0.00 μB/f.u. As for the formation energy without anion corrections: 0.03 eV/atom. Its crystal system is orthorhombic.



[11]
This record from the Alexandria database describes an optimized crystal structure of Tb2Nd4SmEr. The functional is PBE.

Cell lengths 6.275, 3.636, 11.953 Å; angles 90.00, 100.25, 90.00 degrees
Space group P2/m (No. 10)
Symmetry-distinct sites (fractional):
Tb 0.000 0.000 0.000 x1
Tb 0.000 0.500 0.500 x1
Nd 0.249 0.000 0.748 x2
Nd 0.251 0.500 0.252 x2
Sm 0.500 0.500 0.000 x1
Er 0.500 0.000 0.500 x1

Computed properties:
Its total magnetization is 0.00 μB/f.u. The calculated formation energy comes out at 0.02 eV per atom. Its crystal system is monoclinic.



[12]
This record from the Alexandria database describes an optimized crystal structure of Tm5MgNi3. The functional is PBE.

Cell lengths 11.851, 8.859, 9.555 Å; angles 90.00, 116.02, 90.00 degrees
Space group C2/m (No. 12)
Symmetry-distinct sites (fractional):
Tm 0.000 0.214 0.000 x4
Tm 0.049 0.000 0.356 x4
Tm 0.175 0.301 0.653 x8
Tm 0.235 0.500 0.029 x4
Mg 0.079 0.500 0.295 x4
Ni 0.000 0.500 0.000 x2
Ni 0.000 0.500 0.500 x2
Ni 0.157 0.000 0.162 x4
Ni 0.189 0.000 0.661 x4

Computed properties:
Its total magnetization is 0.00 μB/f.u. The calculated formation energy comes out at -0.18 eV per atom. Its crystal system is monoclinic.



> Number 2 is which compound?

MnCo2Rh



> Number 3 is which compound?

In2Fe



> What is the total magnetization in the ninth record?

0.69 μB/f.u.



> Which of these has the highest total magnetization?

PuNbZn